one) Tm2VZn: optimized geometry, PBE-GGA.

The structure in extended XYZ format:
```
4
Lattice="3.553 0.000 0.000 0.000 3.553 0.000 0.000 0.000 6.973" Properties=species:S:1:pos:R:3 pbc="T T T"
Tm 0.000 0.000 5.262
Tm 0.000 0.000 1.711
V 1.777 1.777 0.000
Zn 1.777 1.777 3.486
```

Summary:
crystal system = tetragonal
N(E_F) = 3.73 states/eV/f.u.
symmetry = P4/mmm, No. 123



two) Tm2VZn: optimized geometry, PBE-GGA.

The structure in extended XYZ format:
```
4
Lattice="-1.108 -1.688 2.547 1.992 -0.713 2.468 -2.371 8.068 6.387" Properties=species:S:1:pos:R:3 pbc="T T T"
Tm 0.154 0.028 6.306
Tm -1.641 5.640 5.096
V 0.000 0.000 0.000
Zn -0.744 2.834 5.701
```

Summary:
crystal system = trigonal
N(E_F) = 6.11 states/eV/f.u.
symmetry = R-3m, No. 166



three) Tm2VZn: optimized geometry, PBE-GGA.

The structure in extended XYZ format:
```
4
Lattice="4.984 0.000 0.000 2.492 4.317 0.000 2.492 1.439 4.070" Properties=species:S:1:pos:R:3 pbc="T T T"
Tm 2.492 1.439 1.017
Tm 7.477 4.317 3.052
V 0.000 0.000 0.000
Zn 4.984 2.878 2.035
```

Summary:
crystal system = cubic
N(E_F) = 3.85 states/eV/f.u.
symmetry = Fm-3m, No. 225



It is two) that is the least stable of them.



one) TmZr2V: optimized geometry, PBE-GGA.

The structure in extended XYZ format:
```
4
Lattice="-3.225 -0.066 1.090 -1.084 -0.205 -3.221 0.286 -7.634 0.388" Properties=species:S:1:pos:R:3 pbc="T T T"
Zr 0.057 -1.532 0.078
Zr 0.229 -6.102 0.310
V -2.154 -0.135 -1.066
Tm -2.011 -3.952 -0.871
```

Summary:
crystal system = tetragonal
N(E_F) = 7.14 states/eV/f.u.
symmetry = P4/mmm, No. 123



two) TmZr2V: optimized geometry, PBE-GGA.

The structure in extended XYZ format:
```
4
Lattice="-1.580 2.541 -1.240 -3.072 -0.323 -0.977 -4.691 3.206 8.319" Properties=species:S:1:pos:R:3 pbc="T T T"
Tm -4.672 2.712 3.051
Zr -2.229 1.272 1.217
Zr -7.115 4.153 4.885
V 0.000 0.000 0.000
```

Summary:
crystal system = trigonal
N(E_F) = 5.94 states/eV/f.u.
symmetry = R-3m, No. 166



It is two) that is the least stable of them.



one) Y3Tm7: optimized geometry, PBE-GGA.

The structure in extended XYZ format:
```
10
Lattice="5.300 0.000 -1.492 -0.044 7.017 -0.156 -0.492 1.937 8.411" Properties=species:S:1:pos:R:3 pbc="T T T"
Tm 0.915 1.829 3.249
Tm 3.849 7.126 3.514
Tm 1.727 3.662 6.135
Tm 3.070 1.796 0.746
Tm -0.022 3.509 -0.078
Tm 1.694 7.159 6.018
Tm 3.037 5.292 0.628
Y 0.883 5.343 3.136
Y 0.000 0.000 0.000
Y 3.881 3.611 3.627
```

Summary:
crystal system = monoclinic
N(E_F) = 21.15 states/eV/f.u.
symmetry = C2/m, No. 12



two) Y3Tm7: optimized geometry, PBE-GGA.

The structure in extended XYZ format:
```
20
Lattice="-1.965 -5.895 0.911 3.293 -2.626 -9.896 6.728 -0.955 8.337" Properties=species:S:1:pos:R:3 pbc="T T T"
Y 5.796 -4.786 -2.646
Y 4.308 -6.407 5.307
Y 2.069 -3.455 -2.066
Y 1.806 -6.052 2.207
Y 3.294 -4.431 -5.745
Y 5.532 -7.384 1.627
Tm 4.589 -4.493 2.720
Tm 7.446 -3.452 3.394
Tm 4.427 -2.103 -3.813
Tm 3.314 -1.975 4.037
Tm 4.672 -3.058 -0.044
Tm 0.714 -5.710 -4.091
Tm -0.139 -5.919 -0.566
Tm 3.489 -6.103 -0.653
Tm 5.574 -3.386 6.508
Tm 6.298 -8.220 -1.567
Tm 7.690 -5.073 0.151
Tm 4.847 -7.186 -4.735
Tm 1.976 -7.606 -6.922
Tm 1.253 -2.772 1.153
```

Summary:
crystal system = hexagonal
N(E_F) = 18.69 states/eV/f.u.
symmetry = P6_3mc, No. 186



It is two) that is the least stable of them.



one) YTm2: optimized geometry, PBE-GGA.

The structure in extended XYZ format:
```
3
Lattice="3.228 0.000 1.150 0.807 5.155 2.839 -0.289 0.473 5.914" Properties=species:S:1:pos:R:3 pbc="T T T"
Y 0.000 0.000 0.000
Tm 2.972 3.884 6.971
Tm 0.774 1.745 2.932
```

Summary:
crystal system = orthorhombic
N(E_F) = 6.52 states/eV/f.u.
symmetry = Immm, No. 71



two) YTm2: optimized geometry, PBE-GGA.

The structure in extended XYZ format:
```
6
Lattice="-1.556 1.582 6.111 -0.653 -4.651 4.497 4.416 -0.587 4.736" Properties=species:S:1:pos:R:3 pbc="T T T"
Y 0.000 0.000 0.000
Y 0.552 -0.914 3.836
Tm 2.157 -3.076 6.534
Tm 1.379 -2.285 9.590
Tm 1.706 0.041 7.341
Tm -0.829 -1.991 7.222
```

Summary:
crystal system = cubic
N(E_F) = 5.72 states/eV/f.u.
symmetry = Fd-3m, No. 227



three) YTm2: optimized geometry, PBE-GGA.

The structure in extended XYZ format:
```
3
Lattice="-3.256 0.471 -1.226 0.416 -2.739 -2.157 -1.236 -3.439 6.988" Properties=species:S:1:pos:R:3 pbc="T T T"
Y 0.000 0.000 0.000
Tm -2.313 -2.672 0.089
Tm -1.763 -3.035 3.515
```

Summary:
crystal system = tetragonal
N(E_F) = 4.09 states/eV/f.u.
symmetry = I4/mmm, No. 139



It is two) that is the least stable of them.



one) YTm6: optimized geometry, PBE-GGA.

The structure in extended XYZ format:
```
7
Lattice="-2.979 -3.071 -5.522 0.420 -4.574 5.263 -3.855 5.479 1.978" Properties=species:S:1:pos:R:3 pbc="T T T"
Tm -2.988 -3.220 -1.015
Tm -2.358 -1.459 3.556
Tm -3.426 1.055 2.735
Tm -2.139 -3.596 1.681
Tm -4.276 1.430 0.039
Tm -4.057 -0.707 -1.836
Y 0.000 0.000 0.000
```

Summary:
crystal system = cubic
N(E_F) = 10.71 states/eV/f.u.
symmetry = Im-3m, No. 229



two) YTm6: optimized geometry, PBE-GGA.

The structure in extended XYZ format:
```
14
Lattice="6.425 0.000 0.000 0.000 6.425 0.000 0.000 0.000 10.818" Properties=species:S:1:pos:R:3 pbc="T T T"
Y 3.212 0.000 0.000
Y 0.000 3.212 0.000
Tm 5.341 4.295 3.926
Tm 5.341 2.129 6.892
Tm 3.212 3.212 9.282
Tm 0.000 0.000 9.282
Tm 1.083 2.129 3.926
Tm 2.129 1.083 6.892
Tm 1.083 4.295 6.892
Tm 4.295 1.083 3.926
Tm 4.295 5.341 6.892
Tm 2.129 5.341 3.926
Tm 0.000 0.000 1.536
Tm 3.212 3.212 1.536
```

Summary:
crystal system = tetragonal
N(E_F) = 9.42 states/eV/f.u.
symmetry = P4/nbm, No. 125



It is one) that is the least stable of them.



one) YTm: optimized geometry, PBE-GGA.

The structure in extended XYZ format:
```
4
Lattice="3.545 0.000 -0.647 0.000 5.602 0.000 -2.422 0.000 6.789" Properties=species:S:1:pos:R:3 pbc="T T T"
Y 0.372 4.201 2.038
Y 0.752 1.400 4.103
Tm 1.958 1.400 0.689
Tm -0.834 4.201 5.452
```

Summary:
crystal system = orthorhombic
N(E_F) = 4.03 states/eV/f.u.
symmetry = Pmma, No. 51



two) YTm: optimized geometry, PBE-GGA.

The structure in extended XYZ format:
```
4
Lattice="-1.875 -2.288 1.871 0.726 -3.790 -3.907 6.367 -0.871 2.041" Properties=species:S:1:pos:R:3 pbc="T T T"
Tm 3.139 -5.295 -0.056
Tm 2.080 -1.654 0.061
Y 0.316 -4.251 -1.607
Y 4.903 -2.699 1.612
```

Summary:
crystal system = monoclinic
N(E_F) = 4.25 states/eV/f.u.
symmetry = C2/m, No. 12



It is two) that is the least stable of them.



one) Y2Tm13: optimized geometry, PBE-GGA.

The structure in extended XYZ format:
```
15
Lattice="-5.806 2.524 -6.096 -3.320 -5.892 -5.613 -8.899 -2.567 1.077" Properties=species:S:1:pos:R:3 pbc="T T T"
Tm -6.691 0.752 -3.712
Tm -5.098 -4.643 -3.403
Tm -11.333 -6.687 -6.920
Tm -12.409 -2.223 -4.088
Tm -10.287 -3.146 -1.860
Tm -6.523 -0.635 -6.720
Tm -2.969 -0.866 0.196
Tm -5.615 -3.712 -6.544
Tm -9.012 -2.967 -5.316
Tm -7.737 -2.789 -8.772
Tm -12.926 -1.291 -7.229
Tm -11.501 -5.299 -3.911
Tm -15.055 -5.069 -10.828
Y -4.665 -1.523 -2.523
Y -13.359 -4.412 -8.109
```

Summary:
crystal system = trigonal
N(E_F) = 19.37 states/eV/f.u.
symmetry = R-3m, No. 166



two) Y2Tm13: optimized geometry, PBE-GGA.

The structure in extended XYZ format:
```
15
Lattice="6.458 -0.211 0.675 -1.084 8.766 0.307 0.399 -3.880 7.931" Properties=species:S:1:pos:R:3 pbc="T T T"
Tm 3.523 6.789 3.565
Tm 2.567 3.934 7.217
Tm 5.382 2.790 2.747
Tm 3.205 0.741 1.696
Tm 3.922 5.255 0.811
Tm 3.694 1.055 5.280
Tm 1.850 -0.579 8.102
Tm 0.390 1.885 6.167
Tm 5.280 -1.494 6.987
Tm 2.249 -2.114 5.348
Tm 0.492 6.169 1.927
Tm 2.078 3.620 3.634
Tm 0.000 0.000 0.000
Y 0.528 0.214 3.430
Y 5.244 4.462 5.483
```

Summary:
crystal system = triclinic
N(E_F) = 25.72 states/eV/f.u.
symmetry = P-1, No. 2



It is one) that is the least stable of them.



one) Y13Tm2: optimized geometry, PBE-GGA.

The structure in extended XYZ format:
```
15
Lattice="6.108 0.000 3.509 2.046 5.755 3.509 -2.691 -1.900 11.755" Properties=species:S:1:pos:R:3 pbc="T T T"
Y 3.035 4.276 12.428
Y -0.595 -0.420 4.608
Y -0.657 -0.464 11.753
Y 2.394 -0.464 13.506
Y 3.069 4.319 5.267
Y 0.417 2.428 6.344
Y 0.365 2.411 13.506
Y 5.045 1.428 12.428
Y 2.731 1.928 9.386
Y 6.058 4.276 14.165
Y 2.427 -0.420 6.344
Y 6.120 4.319 7.020
Y 5.098 1.445 5.267
Tm 3.388 2.391 15.313
Tm 2.074 1.464 3.460
```

Summary:
crystal system = trigonal
N(E_F) = 28.45 states/eV/f.u.
symmetry = R-3m, No. 166



two) Y13Tm2: optimized geometry, PBE-GGA.

The structure in extended XYZ format:
```
15
Lattice="-4.892 3.040 3.265 -1.535 -8.405 2.781 4.999 4.911 5.637" Properties=species:S:1:pos:R:3 pbc="T T T"
Y -0.249 4.681 7.667
Y 0.533 -1.385 8.617
Y -0.571 1.415 6.434
Y -4.341 -2.985 4.177
Y 1.623 3.694 4.742
Y 2.375 -0.638 6.069
Y 0.000 0.000 0.000
Y -1.961 0.930 3.067
Y -3.050 -4.148 6.941
Y -1.179 -5.135 4.016
Y -0.857 -1.870 5.250
Y -3.803 0.184 5.614
Y 2.914 2.530 7.507
Tm 1.265 0.520 3.266
Tm -2.693 -0.974 8.418
```

Summary:
crystal system = triclinic
N(E_F) = 28.11 states/eV/f.u.
symmetry = P-1, No. 2



It is one) that is the least stable of them.



one) Y3Tm8: optimized geometry, PBE-GGA.

The structure in extended XYZ format:
```
11
Lattice="3.498 0.000 0.338 1.733 3.038 0.338 -1.275 -0.741 31.498" Properties=species:S:1:pos:R:3 pbc="T T T"
Y 0.000 0.000 0.000
Y 1.189 0.691 5.965
Y 2.766 1.607 26.209
Tm 0.370 0.215 14.457
Tm 3.210 1.865 3.320
Tm 0.746 0.433 28.854
Tm 1.571 0.913 20.300
Tm 4.399 2.556 9.285
Tm -0.444 -0.258 22.888
Tm 2.384 1.385 11.873
Tm 3.586 2.083 17.716
```

Summary:
crystal system = trigonal
N(E_F) = 17.28 states/eV/f.u.
symmetry = R-3m, No. 166



two) Y3Tm8: optimized geometry, PBE-GGA.

The structure in extended XYZ format:
```
11
Lattice="7.578 1.270 1.239 1.462 7.543 1.239 1.462 1.425 7.510" Properties=species:S:1:pos:R:3 pbc="T T T"
Tm 7.126 2.958 6.430
Tm 3.822 3.280 7.191
Tm 7.365 3.637 3.101
Tm 6.060 5.908 5.764
Tm 3.138 6.602 6.887
Tm 6.680 6.959 2.797
Tm 3.376 7.281 3.559
Tm 4.442 4.331 4.225
Y 4.520 4.407 1.239
Y 4.520 1.348 4.375
Y 1.462 4.484 4.375
```

Summary:
crystal system = trigonal
N(E_F) = 15.46 states/eV/f.u.
symmetry = R-3, No. 148



It is two) that is the least stable of them.



one) YTm5: optimized geometry, PBE-GGA.

The structure in extended XYZ format:
```
6
Lattice="-1.391 3.483 -3.219 1.709 -2.769 -3.734 -7.518 -1.866 1.229" Properties=species:S:1:pos:R:3 pbc="T T T"
Tm -4.430 -2.161 -0.425
Tm -1.379 -2.474 -2.081
Tm -2.925 0.654 -1.823
Tm -4.274 -1.806 -3.902
Tm 0.159 0.357 -3.477
Y 0.000 0.000 0.000
```

Summary:
crystal system = orthorhombic
N(E_F) = 8.07 states/eV/f.u.
symmetry = Cmmm, No. 65



two) YTm5: optimized geometry, PBE-GGA.

The structure in extended XYZ format:
```
6
Lattice="5.545 0.000 0.000 0.000 3.523 -0.614 0.000 -0.166 9.461" Properties=species:S:1:pos:R:3 pbc="T T T"
Y 0.000 0.001 0.003
Tm 0.000 1.061 6.087
Tm 2.773 1.941 0.723
Tm 2.773 3.000 6.798
Tm 2.773 0.709 4.070
Tm 0.000 2.296 2.758
```

Summary:
crystal system = orthorhombic
N(E_F) = 9.73 states/eV/f.u.
symmetry = Amm2, No. 38



It is one) that is the least stable of them.



one) YTm3: optimized geometry, PBE-GGA.

The structure in extended XYZ format:
```
4
Lattice="4.964 0.000 0.000 0.000 4.964 0.000 0.000 0.000 4.964" Properties=species:S:1:pos:R:3 pbc="T T T"
Tm 0.000 2.482 2.482
Tm 2.482 2.482 0.000
Tm 2.482 0.000 2.482
Y 0.000 0.000 0.000
```

Summary:
crystal system = cubic
N(E_F) = 5.98 states/eV/f.u.
symmetry = Pm-3m, No. 221



two) YTm3: optimized geometry, PBE-GGA.

The structure in extended XYZ format:
```
4
Lattice="-3.151 -0.170 -1.704 2.642 -0.948 -4.792 -0.250 -6.111 1.071" Properties=species:S:1:pos:R:3 pbc="T T T"
Y 1.238 -2.518 -2.038
Tm -1.700 -3.146 -0.315
Tm -0.462 -5.651 -2.356
Tm -0.249 -6.099 1.069
```

Summary:
crystal system = orthorhombic
N(E_F) = 6.56 states/eV/f.u.
symmetry = Pmm2, No. 25



three) YTm3: optimized geometry, PBE-GGA.

The structure in extended XYZ format:
```
4
Lattice="-0.292 -0.489 -5.580 3.797 -3.081 -2.748 -1.496 -4.886 -2.312" Properties=species:S:1:pos:R:3 pbc="T T T"
Tm 1.507 -6.343 -7.980
Tm 0.000 0.000 0.000
Tm 0.502 -2.114 -2.660
Y 1.004 -4.229 -5.320
```

Summary:
crystal system = cubic
N(E_F) = 10.34 states/eV/f.u.
symmetry = Fm-3m, No. 225



It is three) that is the least stable of them.